## Tc2Sb2O (GGA-PBEsol)

Data for Tc2Sb2O after structural relaxation.

Cell and atoms, written as POSCAR:
```
Tc2Sb2O
1.0
-3.358 2.117 2.897
-1.860 -1.549 -4.277
1.866 -4.120 1.922
Sb O Tc
2 1 2
Direct
0.500 0.750 0.250 Sb
0.500 0.250 0.750 Sb
0.000 0.000 0.000 O
0.000 0.318 0.318 Tc
0.000 0.682 0.682 Tc
```

Values from the calculation:
Space-group type: I4/mmm, No. 139
DFT total energy, eV/cell: -36.34
Raw formation energy, eV/atom: 0.111